# ScZnCrPd2

Crystalline ScZnCrPd2 at its relaxed geometry (PBE-GGA, Alexandria).

Output
formation energy	438	meV per atom
DOS at the Fermi energy	0.769	states/eV per atom
raw total energy	-25.4	eV for the cell shown

Cell and atoms, written as CIF:
```
data_ScZnCrPd2
_cell_length_a 4.570
_cell_length_b 4.570
_cell_length_c 4.605
_cell_angle_alpha 90.00
_cell_angle_beta 90.00
_cell_angle_gamma 90.00
_symmetry_space_group_name_H-M 'P 1'
_symmetry_Int_Tables_number 1
loop_
_symmetry_equiv_pos_as_xyz
'x,y,z'
loop_
_atom_site_label
_atom_site_type_symbol
_atom_site_fract_x
_atom_site_fract_y
_atom_site_fract_z
Zn1 Zn 0.000 0.000 0.500
Cr1 Cr 0.000 0.000 0.000
Sc1 Sc 0.500 0.500 0.500
Pd1 Pd 0.500 0.000 0.000
Pd2 Pd 0.000 0.500 0.000
```

# CrPdSe

Crystalline CrPdSe at its relaxed geometry (PBE-GGA, Alexandria).

Output
DOS at the Fermi energy	0.522	states/eV per atom
raw formation energy	-0.12	eV/atom
raw total energy	-37.3	eV for the cell shown

Cell and atoms, written as CIF:
```
data_CrPdSe
_cell_length_a 3.977
_cell_length_b 3.977
_cell_length_c 6.038
_cell_angle_alpha 90.00
_cell_angle_beta 90.00
_cell_angle_gamma 90.00
_symmetry_space_group_name_H-M 'P 1'
_symmetry_Int_Tables_number 1
loop_
_symmetry_equiv_pos_as_xyz
'x,y,z'
loop_
_atom_site_label
_atom_site_type_symbol
_atom_site_fract_x
_atom_site_fract_y
_atom_site_fract_z
Cr1 Cr 0.336 0.336 0.500
Pd1 Pd 0.336 0.836 0.835
Se1 Se 0.836 0.336 0.738
Cr2 Cr 0.836 0.836 0.500
Se2 Se 0.336 0.836 0.262
Pd2 Pd 0.836 0.336 0.165
```

# Cr3PdSe

Crystalline Cr3PdSe at its relaxed geometry (PBE-GGA, Alexandria).

Output
DOS at the Fermi energy	1.172	states/eV per atom
raw formation energy	1.09	eV/atom
raw total energy	-32.1	eV for the cell shown

Cell and atoms, written as CIF:
```
data_Cr3PdSe
_cell_length_a 4.880
_cell_length_b 4.880
_cell_length_c 4.880
_cell_angle_alpha 90.00
_cell_angle_beta 90.00
_cell_angle_gamma 90.00
_symmetry_space_group_name_H-M 'P 1'
_symmetry_Int_Tables_number 1
loop_
_symmetry_equiv_pos_as_xyz
'x,y,z'
loop_
_atom_site_label
_atom_site_type_symbol
_atom_site_fract_x
_atom_site_fract_y
_atom_site_fract_z
Cr1 Cr 0.000 0.500 0.000
Cr2 Cr 0.500 0.000 0.000
Cr3 Cr 0.000 0.000 0.500
Pd1 Pd 0.000 0.000 0.000
Se1 Se 0.500 0.500 0.500
```

# CrPdSe4

Crystalline CrPdSe4 at its relaxed geometry (PBE-GGA, Alexandria).

Output
DOS at the Fermi energy	0.555	states/eV per atom
raw formation energy	-0.34	eV/atom
raw total energy	-30.8	eV for the cell shown

Cell and atoms, written as CIF:
```
data_CrPdSe4
_cell_length_a 3.676
_cell_length_b 6.472
_cell_length_c 6.353
_cell_angle_alpha 118.47
_cell_angle_beta 90.00
_cell_angle_gamma 106.50
_symmetry_space_group_name_H-M 'P 1'
_symmetry_Int_Tables_number 1
loop_
_symmetry_equiv_pos_as_xyz
'x,y,z'
loop_
_atom_site_label
_atom_site_type_symbol
_atom_site_fract_x
_atom_site_fract_y
_atom_site_fract_z
Se1 Se 0.128 0.257 0.453
Pd1 Pd 0.500 0.000 0.500
Se2 Se 0.374 0.748 0.039
Se3 Se 0.872 0.743 0.547
Cr1 Cr 0.000 0.000 0.000
Se4 Se 0.626 0.252 0.961
```